First-principles (meta-GGA SCAN) data for a crystal of La2MgBiF relaxed with PBEsol, as listed in the Alexandria database.

- Total energy: -35.91 eV/atom
- Calculated density: 6.5 Mg/m³
- N(E_F): 2.34 states/eV/f.u.
- V: 134.5 Å³ per cell

Lattice parameters (Å, degrees): 4.8090 4.8090 5.8143 90.00 90.00 90.00
Fractional positions:
La1 0.0000 0.5000 0.0000
Bi1 0.0000 0.0000 0.5000
La2 0.5000 0.0000 0.0000
Mg1 0.5000 0.5000 0.5000
F1 0.0000 0.0000 0.0000